Entry from Alexandria via LeMat-Bulk: a relaxed structure of BaZnNi (GGA-PBE).

Structure (extended XYZ):
```
12
Lattice="-3.145 -3.163 -4.574 2.735 -3.182 0.319 -4.283 -2.598 10.790" Properties=species:S:1:pos:R:3 pbc="T T T"
Ba -5.647 -3.985 8.655
Ba -2.138 -4.277 3.420
Ba -0.957 -0.632 1.901
Ba -1.731 -3.522 7.455
Zn -2.084 -1.286 5.037
Zn -2.858 -4.176 10.591
Zn -3.208 -2.712 0.450
Zn -3.982 -5.602 6.004
Ni -4.385 -3.216 5.511
Ni -0.876 -3.507 0.276
Ni -6.279 -4.844 5.509
Ni -2.770 -5.136 0.274
```

## Properties
Calculated volume, Å³/atom: 24.82
Final energy, eV for the cell shown: -36.93
E_form, meV/atom: -85